Entry 1:
Co2Pb: relaxed, PBE.

Cell lengths 7.214, 7.214, 7.214 Å; angles 90.00, 90.00, 90.00 degrees
Space group Fd-3m (No. 227, origin choice 2)
One atom of each set of equivalent atoms:
1 Co 0.000 0.000 0.000
2 Pb 0.125 0.125 0.625

Computed properties:
Final energy, eV per atom: -5.512

Entry 2:
PmHoB: relaxed, PBE.

Cell lengths 6.471, 6.471, 6.471 Å; angles 90.00, 90.00, 90.00 degrees
Space group F-43m (No. 216)
One atom of each set of equivalent atoms:
1 Pm 0.000 0.000 0.000
2 Ho 0.000 0.000 0.500
3 B 0.250 0.250 0.750

Computed properties:
Final energy, eV per atom: -5.208

Entry 3:
LuReIr: relaxed, PBE.

Cell lengths 6.218, 6.218, 6.218 Å; angles 90.00, 90.00, 90.00 degrees
Space group F-43m (No. 216)
One atom of each set of equivalent atoms:
1 Lu 0.000 0.000 0.000
2 Re 0.250 0.250 0.750
3 Ir 0.000 0.000 0.500

Computed properties:
Formation energy from the elements, kJ/mol of atoms: 30.8
Final energy, eV per atom: -8.281

Entry 4:
HfMgNiSn: relaxed, PBE.

Cell lengths 6.625, 6.625, 6.625 Å; angles 90.00, 90.00, 90.00 degrees
Space group F-43m (No. 216)
One atom of each set of equivalent atoms:
1 Hf 0.000 0.000 0.000
2 Mg 0.250 0.250 0.250
3 Ni 0.250 0.250 0.750
4 Sn 0.000 0.000 0.500

Computed properties:
Final energy, eV per atom: -5.280

Entry 5:
CdPd2Pt2: relaxed, PBE.

Cell lengths 3.745, 3.745, 12.832 Å; angles 90.00, 90.00, 90.00 degrees
Space group I4/mmm (No. 139)
One atom of each set of equivalent atoms:
1 Cd 0.000 0.000 0.000
2 Pd 0.000 0.000 0.401
3 Pt 0.000 0.500 0.250

Computed properties:
Formation energy from the elements, kJ/mol of atoms: 9.1
Final energy, eV per atom: -4.577

Entry 6:
CsEr2Cl7: relaxed, PBE.

Cell lengths 6.549, 12.643, 7.704 Å; angles 90.00, 91.64, 90.00 degrees
Space group P2_1/m (No. 11)
One atom of each set of equivalent atoms:
1 Cs 0.048 0.250 0.131
2 Er 0.402 0.107 0.656
3 Cl 0.100 0.250 0.636
4 Cl 0.236 0.002 0.884
5 Cl 0.260 0.002 0.384
6 Cl 0.438 0.750 0.126
7 Cl 0.457 0.750 0.577

Computed properties:
Final energy, eV per atom: -4.524

Entry 7:
Sc2NbFe: relaxed, PBE.

Cell lengths 6.513, 6.513, 6.513 Å; angles 90.00, 90.00, 90.00 degrees
Space group F-43m (No. 216)
One atom of each set of equivalent atoms:
1 Sc 0.000 0.000 0.000
2 Sc 0.250 0.250 0.250
3 Nb 0.000 0.000 0.500
4 Fe 0.250 0.250 0.750

Computed properties:
Formation energy from the elements, kJ/mol of atoms: 20.7
Final energy, eV per atom: -7.551

Entry 8:
BaB4Ir: relaxed, PBE.

Cell lengths 2.844, 5.823, 8.854 Å; angles 90.00, 90.00, 90.00 degrees
Space group Immm (No. 71)
One atom of each set of equivalent atoms:
1 Ba 0.000 0.000 0.000
2 B 0.000 0.354 0.224
3 Ir 0.000 0.000 0.500

Computed properties:
Final energy, eV per atom: -5.704

Entry 9:
TbNi12B6: relaxed, PBE.

Cell lengths 9.571, 7.383, 11.004 Å; angles 90.00, 90.00, 90.00 degrees
Space group Cmc2_1 (No. 36)
One atom of each set of equivalent atoms:
1 Tb 0.000 0.165 0.000
2 Ni 0.000 0.218 0.397
3 Ni 0.000 0.435 0.576
4 Ni 0.131 0.325 0.762
5 Ni 0.131 0.344 0.220
6 Ni 0.132 0.014 0.240
7 Ni 0.183 0.187 0.559
8 Ni 0.195 0.465 0.428
9 B 0.000 0.164 0.657
10 B 0.000 0.488 0.342
11 B 0.207 0.196 0.373
12 B 0.215 0.458 0.611

Computed properties:
Final energy, eV per atom: -6.264

Entry 10:
ReSn: relaxed, PBE.

Cell lengths 5.511, 5.511, 5.511 Å; angles 90.00, 90.00, 90.00 degrees
Space group Fm-3m (No. 225)
One atom of each set of equivalent atoms:
1 Re 0.000 0.000 0.000
2 Sn 0.000 0.000 0.500

Computed properties:
Final energy, eV per atom: -6.852

Entry 11:
Tb2PrMg3Pt2Au: relaxed, PBE.

Cell lengths 4.079, 13.096, 7.518 Å; angles 90.00, 90.00, 90.00 degrees
Space group Amm2 (No. 38)
One atom of each set of equivalent atoms:
1 Tb 0.000 0.208 0.000
2 Pr 0.000 0.000 0.374
3 Mg 0.500 0.000 0.038
4 Mg 0.500 0.126 0.669
5 Pt 0.500 0.171 0.290
6 Au 0.000 0.000 0.798

Computed properties:
Final energy, eV per atom: -4.629

Entry 12:
Si17AgGe13P: relaxed, PBE.

Cell lengths 5.636, 3.956, 31.315 Å; angles 90.00, 90.17, 90.00 degrees
Space group Pm (No. 6)
One atom of each set of equivalent atoms:
1 Si 0.000 0.000 0.000
2 Si 0.000 0.000 0.623
3 Si 0.003 0.000 0.249
4 Si 0.010 0.000 0.373
5 Si 0.250 0.000 0.311
6 Si 0.251 0.000 0.061
7 Si 0.251 0.000 0.810
8 Si 0.261 0.000 0.189
9 Si 0.502 0.500 0.189
10 Si 0.504 0.500 0.687
11 Si 0.510 0.500 0.938
12 Si 0.760 0.500 0.502
13 Si 0.760 0.500 0.748
14 Si 0.761 0.500 0.248
15 Si 0.762 0.500 0.999
16 Si 0.989 0.000 0.500
17 Si 0.998 0.000 0.749
18 Ag 0.270 0.000 0.561
19 Ge 0.011 0.000 0.874
20 Ge 0.014 0.000 0.125
21 Ge 0.246 0.000 0.438
22 Ge 0.254 0.000 0.687
23 Ge 0.262 0.000 0.939
24 Ge 0.500 0.500 0.810
25 Ge 0.501 0.500 0.060
26 Ge 0.501 0.500 0.310
27 Ge 0.507 0.500 0.439
28 Ge 0.751 0.500 0.125
29 Ge 0.751 0.500 0.875
30 Ge 0.756 0.500 0.624
31 Ge 0.761 0.500 0.374
32 P 0.527 0.500 0.561

Computed properties:
Final energy, eV per atom: -4.962